A geometry-optimized Ca3Ni structure, computed with PBE.

The space group is C2/m (No. 12) and the conventional cell measures 13.1799, 3.6567 and 5.6165 Å, with angles of 90.00, 115.07 and 90.00 degrees. The inequivalent atoms are Ca at (0.0000, 0.0000, 0.0000), Ca at (0.1788, 0.0000, 0.6789) and Ni at (0.0000, 0.5000, 0.5000).

As for the total energy: -2.914 eV/atom.